(1)
First-principles (PBE-GGA) data for a relaxed structure of Hf2Ag3Au3, as listed in Alexandria.

Lattice parameters (Å, degrees): 7.8706 7.8706 8.4655 90.00 90.00 120.00
Space group R32 (No. 155, hexagonal axes)
Unique sites:
Hf 0.0000 0.0000 0.2051 x6
Ag 0.0000 0.7584 0.5000 x9
Au 0.0000 0.2890 0.0000 x9

- energy of formation from the pure elements (eV per formula unit) = -1.4
- M_tot (Bohr magnetons per cell) = 0.00
- Fermi-level density of states (states/eV/f.u.) = 3.59



(2)
First-principles (PBE-GGA) data for a relaxed structure of LiY2SiHg, as listed in Alexandria.

Lattice parameters (Å, degrees): 5.249 5.249 4.284 90.00 90.00 90.00
Space group P4/mmm (No. 123)
Unique sites:
Li 0.000 0.000 0.000 x1
Y 0.000 0.500 0.000 x2
Si 0.000 0.000 0.500 x1
Hg 0.500 0.500 0.500 x1

- uncorrected formation energy (eV/atom) = 0.07
- M_tot (Bohr magnetons per cell) = 1.32
- Fermi-level density of states (states/eV/f.u.) = 3.77



(3)
First-principles (PBE-GGA) data for a relaxed structure of CrInCl2, as listed in Alexandria.

Lattice parameters (Å, degrees): 6.426 6.426 10.473 90.00 90.00 90.00
Space group I-42d (No. 122)
Unique sites:
Cr 0.000 0.000 0.000 x4
In 0.000 0.000 0.500 x4
Cl 0.120 0.250 0.125 x8

- excess energy over the best structure of this formula in the dataset (kcal/mol of atoms) = 13.38
- uncorrected formation energy (eV/atom) = 0.05
- M_tot (Bohr magnetons per cell) = 0.00
- Fermi-level density of states (states/eV/f.u.) = 6.38



(4)
First-principles (PBE-GGA) data for a relaxed structure of CsAu2, as listed in Alexandria.

Lattice parameters (Å, degrees): 5.522 5.522 12.122 90.00 90.00 90.00
Space group I4/mcm (No. 140)
Unique sites:
Cs 0.000 0.000 0.250 x4
Au 0.183 0.317 0.000 x8

- energy of formation from the pure elements (eV per formula unit) = -0.6
- M_tot (Bohr magnetons per cell) = 0.00
- Fermi-level density of states (states/eV/f.u.) = 0.70